FeRh3, PBEsol geometry, DFT meta-GGA SCAN; spin magnetization = 2.83 Bohr magnetons per cell; energy of formation = -10.9 meV/atom; ρ = 11.8 g/cm³; crystal system = hexagonal
1.0
2.657 0.000 0.000
-1.328 2.301 0.000
0.000 0.000 8.415
Fe Rh
1 3
Cartesian
0.000 0.000 0.000
0.000 0.000 4.208
1.328 0.767 2.014
1.328 0.767 6.401